(1)
A relaxed structure of Ni3PPd. Source: the Alexandria database, functional PBE.

Cell lengths 4.5175, 4.5175, 4.5175 Å; angles 90.00, 90.00, 90.00 degrees
Closest atoms and distances in Å follow each position.
Sites, in units of the cell vectors:
Ni1 0.0000 0.0000 0.5000  2 Pd 2.26
Ni2 0.0000 0.5000 0.0000  2 Pd 2.26
Ni3 0.5000 0.0000 0.0000  2 Pd 2.26
P1 0.5000 0.5000 0.5000  12 Ni 3.19
Pd1 0.0000 0.0000 0.0000  6 Ni 2.26

Output
Offset from the most stable computed form = 1313 meV per atom
Size of the total moment = 2.9 μB per formula unit
SG = Pm-3m (221)
ρ = 5646 kg/m³
Energy relative to the elements = 1433 meV/atom



(2)
A relaxed structure of K2Cd2Se2S. Source: the Alexandria database, functional PBE.

Cell lengths 7.6667, 7.6667, 8.0118 Å; angles 121.42, 121.42, 33.12 degrees
Closest atoms and distances in Å follow each position.
Sites, in units of the cell vectors:
K1 0.0702 0.0702 0.3282  2 S 3.13, 2 Se 3.46
K2 0.9298 0.9298 0.6718  2 S 3.13, 2 Se 3.46
Cd1 0.3104 0.3104 0.9248  1 S 2.51, 3 Se 2.72-2.78
Cd2 0.6896 0.6896 0.0752  1 S 2.51, 3 Se 2.72-2.78
Se1 0.3113 0.3113 0.2726  3 Cd 2.72-2.78
Se2 0.6887 0.6887 0.7274  3 Cd 2.72-2.78
S1 0.5000 0.5000 0.0000  2 Cd 2.51

Output
Size of the total moment = 0.0 μB per formula unit
SG = C2/m (12)
ρ = 3791 kg/m³
Formation energy (no corrections) = -0.895 eV/atom



(3)
A relaxed structure of AcPmTe. Source: the Alexandria database, functional PBE.

Cell lengths 6.7027, 8.4836, 8.2153 Å; angles 90.00, 112.14, 90.00 degrees
Closest atoms and distances in Å follow each position.
Sites, in units of the cell vectors:
Ac1 0.0485 0.0000 0.0962  2 Pm 3.34-3.36, 4 Te 3.41-3.55
Ac2 0.0519 0.8413 0.6165  4 Te 3.23-3.52
Ac3 0.9481 0.3413 0.3835  4 Te 3.23-3.52
Ac4 0.9515 0.5000 0.9038  2 Pm 3.34-3.36, 4 Te 3.41-3.55
Pm1 0.4240 0.6669 0.3765  3 Te 3.12-3.31
Pm2 0.4538 0.5071 0.9065  4 Te 3.19-3.41, 2 Ac 3.34-3.36
Pm3 0.5462 0.0071 0.0935  4 Te 3.19-3.41, 2 Ac 3.34-3.36
Pm4 0.5760 0.1669 0.6235  3 Te 3.12-3.31
Te1 0.1814 0.1923 0.7719  3 Pm 3.19-3.31, 4 Ac 3.23-3.51
Te2 0.3839 0.3175 0.2477  4 Pm 3.12-3.41, 1 Ac 3.43
Te3 0.6161 0.8175 0.7523  4 Pm 3.12-3.41, 1 Ac 3.43
Te4 0.8186 0.6923 0.2281  3 Pm 3.19-3.31, 4 Ac 3.23-3.51

Output
Offset from the most stable computed form = 0 meV per atom
Size of the total moment = 0.0 μB per formula unit
SG = P2_1 (4)
ρ = 7669 kg/m³
Formation energy (no corrections) = -0.807 eV/atom



(4)
A relaxed structure of K2BaMn. Source: the Alexandria database, functional PBE.

Cell lengths 6.4647, 6.4647, 6.4647 Å; angles 60.00, 60.00, 60.00 degrees
Closest atoms and distances in Å follow each position.
Sites, in units of the cell vectors:
K1 0.2500 0.2500 0.2500  4 Ba 3.96, 4 Mn 3.96
K2 0.7500 0.7500 0.7500  4 Mn 3.96, 4 Ba 3.96
Ba1 0.0000 0.0000 0.0000  8 K 3.96
Mn1 0.5000 0.5000 0.5000  8 K 3.96

Output
Offset from the most stable computed form = 235 meV per atom
Size of the total moment = 4.1 μB per formula unit
SG = Fm-3m (225)
ρ = 2351 kg/m³
Energy relative to the elements = 715 meV/atom



Repeat the third record exactly.
A relaxed structure of AcPmTe. Source: the Alexandria database, functional PBE.

Cell lengths 6.7027, 8.4836, 8.2153 Å; angles 90.00, 112.14, 90.00 degrees
Closest atoms and distances in Å follow each position.
Sites, in units of the cell vectors:
Ac1 0.0485 0.0000 0.0962  2 Pm 3.34-3.36, 4 Te 3.41-3.55
Ac2 0.0519 0.8413 0.6165  4 Te 3.23-3.52
Ac3 0.9481 0.3413 0.3835  4 Te 3.23-3.52
Ac4 0.9515 0.5000 0.9038  2 Pm 3.34-3.36, 4 Te 3.41-3.55
Pm1 0.4240 0.6669 0.3765  3 Te 3.12-3.31
Pm2 0.4538 0.5071 0.9065  4 Te 3.19-3.41, 2 Ac 3.34-3.36
Pm3 0.5462 0.0071 0.0935  4 Te 3.19-3.41, 2 Ac 3.34-3.36
Pm4 0.5760 0.1669 0.6235  3 Te 3.12-3.31
Te1 0.1814 0.1923 0.7719  3 Pm 3.19-3.31, 4 Ac 3.23-3.51
Te2 0.3839 0.3175 0.2477  4 Pm 3.12-3.41, 1 Ac 3.43
Te3 0.6161 0.8175 0.7523  4 Pm 3.12-3.41, 1 Ac 3.43
Te4 0.8186 0.6923 0.2281  3 Pm 3.19-3.31, 4 Ac 3.23-3.51

Output
Offset from the most stable computed form = 0 meV per atom
Size of the total moment = 0.0 μB per formula unit
SG = P2_1 (4)
ρ = 7669 kg/m³
Formation energy (no corrections) = -0.807 eV/atom